# 1
Material: CoNi5
Method: DFT, PBE
State: optimized geometry

extended XYZ file:
```
24
Lattice="4.593 0.000 0.000 -2.296 3.977 0.000 0.000 0.000 14.894" Properties=species:S:1:pos:R:3 pbc="T T T"
Ni 1.148 1.989 7.447
Ni 1.120 0.646 11.171
Ni -1.148 1.989 0.000
Ni 2.296 2.685 11.171
Ni 2.296 1.326 2.282
Ni -1.148 1.989 7.447
Ni 0.000 0.000 8.823
Ni -1.177 3.331 3.724
Ni 0.000 1.293 3.724
Ni 2.296 1.326 5.165
Ni 0.000 2.652 12.612
Ni 2.296 0.000 7.447
Ni 0.000 0.000 13.519
Ni 3.473 0.646 11.171
Ni 1.177 3.331 3.724
Ni 0.000 0.000 6.072
Ni 1.148 1.989 0.000
Ni 0.000 0.000 1.375
Ni 0.000 2.652 9.729
Ni 2.296 0.000 0.000
Co 0.000 2.652 5.558
Co 0.000 2.652 1.889
Co 2.296 1.326 9.336
Co 2.296 1.326 13.006
```

Values from the calculation:
ΔE_f   0.21 eV per atom
Mass density   8.6 g/cm³
Volume   272.1 Å³/cell
SG   P6_3/mmc



# 2
Material: Co5Ni7
Method: DFT, PBE
State: optimized geometry

extended XYZ file:
```
24
Lattice="4.586 0.000 0.000 -2.293 3.971 0.000 0.000 0.000 14.903" Properties=species:S:1:pos:R:3 pbc="T T T"
Co 1.184 3.331 3.726
Co 3.477 0.640 11.177
Co 0.000 1.281 3.726
Co 1.109 0.640 11.177
Co -1.184 3.331 3.726
Co 0.000 2.648 12.507
Co 2.293 1.324 2.396
Co 2.293 2.691 11.177
Co 2.293 1.324 5.056
Co 0.000 2.648 9.848
Ni 2.293 1.324 13.018
Ni 2.293 0.000 7.452
Ni 0.000 0.000 8.835
Ni 0.000 0.000 13.520
Ni 2.293 1.324 9.336
Ni 1.146 1.986 7.452
Ni 0.000 2.648 5.567
Ni -1.146 1.986 0.000
Ni -1.146 1.986 7.452
Ni 0.000 0.000 1.383
Ni 0.000 0.000 6.068
Ni 0.000 2.648 1.885
Ni 2.293 0.000 0.000
Ni 1.146 1.986 0.000
```

Values from the calculation:
ΔE_f   0.21 eV per atom
Mass density   8.6 g/cm³
Volume   271.4 Å³/cell
Relative energy among the computed polymorphs   0.11 eV per formula unit
SG   P6_3/mmc